Entry 1:
The following is a meta-GGA SCAN calculation of a PBEsol-optimized structure of Cr2InPb, from Alexandria via LeMat-Bulk.

Cell: 3.1216 3.8292 6.2150 Å, 90.00 90.00 90.00°
Last column: nearest neighbours and their distance in Å.
Fractional positions:
Cr 0.0000 0.0000 0.7588  4 In 2.89, 4 Pb 2.95, 4 Cr 3.00-3.22
Cr 0.0000 0.0000 0.2412  4 In 2.89, 4 Pb 2.95, 4 Cr 3.00-3.22
In 0.5000 0.5000 0.0000  8 Cr 2.89, 2 Pb 3.11, 2 In 3.12
Pb 0.5000 0.5000 0.5000  8 Cr 2.95, 2 In 3.11, 2 Pb 3.12

Results
**Total DFT energy (no corrections)**: -36.208 eV/atom
**Total magnetic moment**: 1.95 μB/atom
**E_form**: 277 meV per atom

=====

Entry 2:
The following is a meta-GGA SCAN calculation of a PBEsol-optimized structure of Cr2InPb, from Alexandria via LeMat-Bulk.

Cell: 3.9690 3.9690 5.5663 Å, 110.89 110.89 90.00°
Last column: nearest neighbours and their distance in Å.
Fractional positions:
Cr 0.0000 0.0000 0.0000  4 In 2.81, 4 Cr 3.12, 4 Pb 3.12
Cr 0.7500 0.2500 0.5000  4 Pb 2.81, 4 In 3.12, 4 Cr 3.12
In 0.5000 0.5000 0.0000  8 Cr 2.81-3.12, 4 Pb 3.12
Pb 0.2500 0.7500 0.5000  8 Cr 2.81-3.12, 4 In 3.12

Results
**Total DFT energy (no corrections)**: -36.158 eV/atom
**Total magnetic moment**: 1.83 μB/atom
**E_form**: 327 meV per atom

=====

Entry 3:
The following is a meta-GGA SCAN calculation of a PBEsol-optimized structure of CrIn2Pb2, from Alexandria via LeMat-Bulk.

Cell: 3.9522 3.9522 9.1374 Å, 102.49 102.49 90.00°
Last column: nearest neighbours and their distance in Å.
Fractional positions:
Pb 0.4097 0.4097 0.8194  1 Pb 3.14, 4 Cr 3.21, 4 In 3.41
Pb 0.5903 0.5903 0.1806  1 Pb 3.14, 4 Cr 3.21, 4 In 3.41
Cr 0.0000 0.0000 0.0000  8 Pb 3.21
In 0.2500 0.7500 0.5000  4 In 2.79
In 0.7500 0.2500 0.5000  4 In 2.79

Results
**Total DFT energy (no corrections)**: -47.014 eV/atom
**Total magnetic moment**: 0.87 μB/atom
**E_form**: 330 meV per atom

=====

Entry 4:
The following is a meta-GGA SCAN calculation of a PBEsol-optimized structure of Cr2InPb, from Alexandria via LeMat-Bulk.

Cell: 3.2689 4.6580 5.5061 Å, 106.38 107.27 90.00°
Last column: nearest neighbours and their distance in Å.
Fractional positions:
Cr 0.0013 0.0699 0.0027  4 In 2.82-2.87, 3 Pb 2.86-2.97
Cr 0.2464 0.6754 0.4928  4 Pb 2.84-2.85, 3 In 2.89-2.94
In 0.5053 0.5784 0.0106  7 Cr 2.82-2.94
Pb 0.7470 0.1762 0.4940  7 Cr 2.84-2.97, 1 In 3.17

Results
**Total DFT energy (no corrections)**: -36.154 eV/atom
**Total magnetic moment**: 1.85 μB/atom
**E_form**: 330 meV per atom

=====

Entry 5:
The following is a meta-GGA SCAN calculation of a PBEsol-optimized structure of CrInPb, from Alexandria via LeMat-Bulk.

Cell: 4.8101 4.8101 4.8101 Å, 60.00 60.00 60.00°
Last column: nearest neighbours and their distance in Å.
Fractional positions:
Cr 0.5000 0.5000 0.5000  4 In 2.95
In 0.2500 0.2500 0.2500  4 Cr 2.95, 4 Pb 2.95
Pb 0.0000 0.0000 0.0000  4 In 2.95

Results
**Total DFT energy (no corrections)**: -42.207 eV/atom
**Total magnetic moment**: 1.61 μB/atom
**E_form**: 311 meV per atom

=====

Entry 6:
The following is a meta-GGA SCAN calculation of a PBEsol-optimized structure of CrInPd3, from Alexandria via LeMat-Bulk.

Cell: 4.8185 4.8185 4.8185 Å, 90.00 90.00 90.00°
Last column: nearest neighbours and their distance in Å.
Fractional positions:
Cr 0.5000 0.5000 0.5000  12 Pd 3.41
Pd 0.0000 0.5000 0.0000  2 In 2.41
Pd 0.0000 0.0000 0.5000  2 In 2.41
Pd 0.5000 0.0000 0.0000  2 In 2.41
In 0.0000 0.0000 0.0000  6 Pd 2.41

Results
**Total DFT energy (no corrections)**: -29.236 eV/atom
**Total magnetic moment**: 0.97 μB/atom
**E_form**: 783 meV per atom

=====

Entry 7:
The following is a meta-GGA SCAN calculation of a PBEsol-optimized structure of CrInPt2, from Alexandria via LeMat-Bulk.

Cell: 2.9017 3.7192 5.8219 Å, 90.00 90.00 90.00°
Last column: nearest neighbours and their distance in Å.
Fractional positions:
Cr 0.5000 0.5000 0.0000  8 Pt 2.73, 2 Cr 2.90, 2 In 2.91
In 0.5000 0.5000 0.5000  8 Pt 2.82, 2 In 2.90, 2 Cr 2.91
Pt 0.0000 0.0000 0.7644  4 Cr 2.73, 3 Pt 2.74-2.90, 4 In 2.82
Pt 0.0000 0.0000 0.2356  4 Cr 2.73, 3 Pt 2.74-2.90, 4 In 2.82

Results
**Total DFT energy (no corrections)**: -48.486 eV/atom
**Total magnetic moment**: 0.94 μB/atom
**E_form**: -447 meV per atom

=====

Entry 8:
The following is a meta-GGA SCAN calculation of a PBEsol-optimized structure of YCrIn2Pt, from Alexandria via LeMat-Bulk.

Cell: 4.5651 5.4727 5.4727 Å, 90.00 90.00 90.00°
Last column: nearest neighbours and their distance in Å.
Fractional positions:
Y 0.0000 0.0000 0.0000  2 Cr 2.28
Cr 0.5000 0.0000 0.0000  2 Y 2.28
Pt 0.5000 0.5000 0.5000  8 In 3.56, 4 Cr 3.87
In 0.0000 0.0000 0.5000  2 Y 2.74
In 0.0000 0.5000 0.0000  2 Y 2.74

Results
**Total DFT energy (no corrections)**: -35.024 eV/atom
**Total magnetic moment**: 0.64 μB/atom
**E_form**: 1614 meV per atom

=====

Entry 9:
The following is a meta-GGA SCAN calculation of a PBEsol-optimized structure of RbCr3In, from Alexandria via LeMat-Bulk.

Cell: 5.3129 5.3129 5.3129 Å, 90.00 90.00 90.00°
Last column: nearest neighbours and their distance in Å.
Fractional positions:
Cr 0.0000 0.5000 0.0000  2 In 2.66
Cr 0.0000 0.0000 0.5000  2 In 2.66
Cr 0.5000 0.0000 0.0000  2 In 2.66
Rb 0.5000 0.5000 0.5000  12 Cr 3.76
In 0.0000 0.0000 0.0000  6 Cr 2.66

Results
**Total DFT energy (no corrections)**: -21.014 eV/atom
**Total magnetic moment**: 2.80 μB/atom
**E_form**: 842 meV per atom

=====

Entry 10:
The following is a meta-GGA SCAN calculation of a PBEsol-optimized structure of CrInRe, from Alexandria via LeMat-Bulk.

Cell: 4.1887 4.1887 4.1887 Å, 60.00 60.00 60.00°
Last column: nearest neighbours and their distance in Å.
Fractional positions:
Cr 0.2500 0.2500 0.2500  4 In 2.57, 4 Re 2.57
In 0.0000 0.0000 0.0000  4 Cr 2.57
Re 0.5000 0.5000 0.5000  4 Cr 2.57

Results
**Total DFT energy (no corrections)**: -40.355 eV/atom
**Total magnetic moment**: 0.65 μB/atom
**E_form**: 602 meV per atom

=====

Entry 11:
The following is a meta-GGA SCAN calculation of a PBEsol-optimized structure of CrInRe, from Alexandria via LeMat-Bulk.

Cell: 2.8662 2.8662 6.5495 Å, 90.00 90.00 120.00°
Last column: nearest neighbours and their distance in Å.
Fractional positions:
Cr 0.0000 0.0000 0.0250  3 Re 2.44
In 0.3333 0.6667 0.6752  3 Cr 2.83, 6 In 2.87, 3 Re 2.96
Re 0.6667 0.3333 0.2998  3 Cr 2.44

Results
**Total DFT energy (no corrections)**: -40.526 eV/atom
**Total magnetic moment**: 0.51 μB/atom
**E_form**: 430 meV per atom

=====

Entry 12:
The following is a meta-GGA SCAN calculation of a PBEsol-optimized structure of CrIn2Rh2, from Alexandria via LeMat-Bulk.

Cell: 4.0547 4.0547 6.4663 Å, 108.27 108.27 90.00°
Last column: nearest neighbours and their distance in Å.
Fractional positions:
Cr 0.0000 0.0000 0.0000  8 Rh 3.11
Rh 0.3967 0.3967 0.7933  1 Rh 2.40, 4 In 2.65
Rh 0.6033 0.6033 0.2067  1 Rh 2.40, 4 In 2.65
In 0.2500 0.7500 0.5000  4 Rh 2.65, 4 In 2.87
In 0.7500 0.2500 0.5000  4 Rh 2.65, 4 In 2.87

Results
**Total DFT energy (no corrections)**: -30.347 eV/atom
**Total magnetic moment**: 0.87 μB/atom
**E_form**: 193 meV per atom